1.
Material: SrCaRe2
Method: DFT, GGA-PBE
State: optimized geometry

Cell lengths 6.127, 6.127, 6.127 Å; angles 144.64, 128.77, 63.78 degrees
Sites, in units of the cell vectors:
Re 0.200 0.700 0.500
Re 0.058 0.058 0.000
Ca 0.761 0.261 0.500
Sr 0.482 0.482 0.000

Calculated values
The energy above the most stable polymorph in this dataset is 24.9 kJ/mol of atoms. Its energy is -6.56 eV/atom. The space group is Imm2, No. 44. The formation energy from the elements comes out at 583 meV per atom. Its spin magnetization is 0.00 μB/atom.

***

2.
Material: HgRuW
Method: DFT, GGA-PBE
State: optimized geometry

Cell lengths 2.879, 2.879, 7.108 Å; angles 90.00, 90.00, 120.00 degrees
Sites, in units of the cell vectors:
Hg 0.000 0.000 0.005
W 0.333 0.667 0.640
Ru 0.667 0.333 0.355

Calculated values
The energy above the most stable polymorph in this dataset is 0.4 kJ/mol of atoms. Its energy is -7.14 eV/atom. The space group is P3m1, No. 156. The formation energy from the elements comes out at 373 meV per atom. Its spin magnetization is 0.00 μB/atom.

***

3.
Material: AlIr3Os
Method: DFT, GGA-PBE
State: optimized geometry

Cell lengths 4.370, 4.370, 4.370 Å; angles 90.00, 90.00, 90.00 degrees
Sites, in units of the cell vectors:
Ir 0.000 0.500 0.000
Ir 0.000 0.000 0.500
Os 0.500 0.500 0.500
Ir 0.500 0.000 0.000
Al 0.000 0.000 0.000

Calculated values
The energy above the most stable polymorph in this dataset is 0.0 kJ/mol of atoms. Its energy is -6.81 eV/atom. The space group is Pm-3m, No. 221. The formation energy from the elements comes out at 1504 meV per atom. Its spin magnetization is 0.00 μB/atom.

***

4.
Material: In2SbW
Method: DFT, GGA-PBE
State: optimized geometry

Cell lengths 10.718, 10.718, 10.718 Å; angles 17.42, 17.42, 17.42 degrees
Sites, in units of the cell vectors:
W 0.750 0.750 0.750
Sb 0.480 0.480 0.480
In 0.258 0.258 0.258
In 0.012 0.012 0.012

Calculated values
Its uncorrected formation energy is 0.38 eV/atom. Its energy is -5.26 eV/atom. The space group is R3m, No. 160. Its spin magnetization is 0.00 μB/atom.

***

5.
Material: BaZr2Br
Method: DFT, GGA-PBE
State: optimized geometry

Cell lengths 7.166, 7.166, 5.381 Å; angles 67.41, 67.41, 26.86 degrees
Sites, in units of the cell vectors:
Zr 0.533 0.533 0.483
Br 0.250 0.250 0.250
Ba 0.750 0.750 0.750
Zr 0.967 0.967 0.017

Calculated values
Its uncorrected formation energy is -0.03 eV/atom. The energy above the most stable polymorph in this dataset is 15.6 kJ/mol of atoms. Its energy is -5.20 eV/atom. The space group is C2/m, No. 12. Its spin magnetization is 0.00 μB/atom.

***

6.
Material: NaCdGaPd
Method: DFT, GGA-PBE
State: optimized geometry

Cell lengths 4.696, 4.696, 4.696 Å; angles 60.00, 60.00, 60.00 degrees
Sites, in units of the cell vectors:
Na 0.000 0.000 0.000
Cd 0.750 0.750 0.750
Ga 0.250 0.250 0.250
Pd 0.500 0.500 0.500

Calculated values
Its energy is -2.83 eV/atom. The space group is F-43m, No. 216. The formation energy from the elements comes out at -212 meV per atom. Its spin magnetization is 0.00 μB/atom.

***

7.
Material: MgAl3Ag12
Method: DFT, GGA-PBE
State: optimized geometry

Cell lengths 4.105, 4.105, 16.495 Å; angles 90.00, 90.00, 90.00 degrees
Sites, in units of the cell vectors:
Ag 0.500 0.500 0.253
Ag 0.500 0.000 0.871
Ag 0.000 0.500 0.624
Al 0.000 0.000 0.749
Ag 0.000 0.500 0.871
Ag 0.500 0.500 0.747
Al 0.000 0.000 0.500
Ag 0.000 0.500 0.376
Ag 0.000 0.500 0.129
Ag 0.500 0.000 0.376
Ag 0.500 0.000 0.129
Ag 0.500 0.500 0.000
Ag 0.500 0.500 0.500
Mg 0.000 0.000 0.000
Al 0.000 0.000 0.251
Ag 0.500 0.000 0.624

Calculated values
Its energy is -3.00 eV/atom. The space group is P4/mmm, No. 123. The formation energy from the elements comes out at -62 meV per atom. Its spin magnetization is 0.00 μB/atom.

***

8.
Material: Zr4Ge2H
Method: DFT, GGA-PBE
State: optimized geometry

Cell lengths 6.361, 5.666, 7.382 Å; angles 90.00, 106.80, 90.00 degrees
Sites, in units of the cell vectors:
Ge 0.769 0.750 0.064
H 0.262 0.750 0.191
Zr 0.104 0.750 0.900
H 0.738 0.250 0.809
Ge 0.230 0.250 0.430
Ge 0.231 0.250 0.936
Zr 0.896 0.250 0.100
Zr 0.508 0.002 0.253
Zr 0.508 0.498 0.253
Ge 0.770 0.750 0.570
Zr 0.492 0.502 0.747
Zr 0.492 0.998 0.747
Zr 0.903 0.250 0.601
Zr 0.097 0.750 0.399

Calculated values
The energy above the most stable polymorph in this dataset is 3.4 kJ/mol of atoms. Its energy is -7.30 eV/atom. The space group is P2_1/m, No. 11. Its spin magnetization is 0.00 μB/atom.

***

9.
Material: PrNpAgO6
Method: DFT, GGA-PBE
State: optimized geometry

Cell lengths 4.612, 5.974, 5.974 Å; angles 120.00, 90.00, 90.00 degrees
Sites, in units of the cell vectors:
Ag 0.000 0.333 0.667
O 0.729 0.713 0.712
O 0.271 0.999 0.712
Np 0.500 0.000 0.000
O 0.271 0.288 0.287
O 0.271 0.713 0.001
Pr 0.500 0.667 0.333
O 0.729 0.288 0.001
O 0.729 0.999 0.287

Calculated values
Its uncorrected formation energy is -2.06 eV/atom. Its energy is -7.65 eV/atom. The space group is P312, No. 149. Its spin magnetization is 0.00 μB/atom.

***

10.
Material: CoPSe2
Method: DFT, GGA-PBE
State: optimized geometry

Cell lengths 3.554, 3.554, 6.380 Å; angles 74.04, 74.04, 59.91 degrees
Sites, in units of the cell vectors:
Se 0.491 0.491 0.527
P 0.250 0.250 0.250
Co 0.750 0.750 0.750
Se 0.009 0.009 0.973

Calculated values
Its uncorrected formation energy is 0.20 eV/atom. Its energy is -4.67 eV/atom. The space group is C2/m, No. 12. Its spin magnetization is 0.00 μB/atom.

***

11.
Material: Tb3Zn2Cu7
Method: DFT, GGA-PBE
State: optimized geometry

Cell lengths 5.242, 5.242, 8.844 Å; angles 72.76, 72.76, 60.00 degrees
Sites, in units of the cell vectors:
Cu 0.083 0.582 0.752
Cu 0.582 0.083 0.752
Cu 0.500 0.500 0.500
Cu 0.582 0.582 0.752
Cu 0.418 0.418 0.248
Zn 0.332 0.332 0.003
Cu 0.917 0.418 0.248
Tb 0.142 0.142 0.575
Tb 0.000 0.000 0.000
Zn 0.668 0.668 0.997
Tb 0.858 0.858 0.425
Cu 0.418 0.917 0.248

Calculated values
Its energy is -4.00 eV/atom. The space group is R-3m, No. 166. The formation energy from the elements comes out at -236 meV per atom. Its spin magnetization is 0.00 μB/atom.

***

12.
Material: Pr3HgI3
Method: DFT, GGA-PBE
State: optimized geometry

Cell lengths 11.070, 11.070, 11.070 Å; angles 109.47, 109.47, 109.47 degrees
Sites, in units of the cell vectors:
Pr 0.480 0.490 0.240
Pr 0.010 0.020 0.260
Pr 0.750 0.010 0.490
Hg 0.500 0.000 0.250
I 0.743 0.993 0.985
I 0.507 0.250 0.993
I 0.250 0.993 0.507
I 0.985 0.743 0.993
Pr 0.020 0.260 0.010
Pr 0.260 0.010 0.020
I 0.993 0.507 0.250
Hg 0.250 0.500 0.000
I 0.757 0.743 0.250
Pr 0.490 0.750 0.010
I 0.515 0.507 0.757
Pr 0.240 0.480 0.490
I 0.743 0.250 0.757
Pr 0.010 0.490 0.750
Hg 0.250 0.250 0.250
I 0.993 0.985 0.743
Pr 0.240 0.260 0.750
I 0.757 0.515 0.507
Pr 0.260 0.750 0.240
Hg 0.000 0.250 0.500
I 0.507 0.757 0.515
Pr 0.490 0.240 0.480
Pr 0.750 0.240 0.260
I 0.250 0.757 0.743

Calculated values
Its uncorrected formation energy is -0.99 eV/atom. Its energy is -3.75 eV/atom. The space group is I4_132, No. 214. Its spin magnetization is 0.00 μB/atom.

***

13.
Material: In4Pb3
Method: DFT, GGA-PBE
State: optimized geometry

Cell lengths 6.541, 6.541, 5.877 Å; angles 90.00, 90.00, 120.00 degrees
Sites, in units of the cell vectors:
Pb 0.500 0.000 0.000
In 0.333 0.667 0.500
Pb 0.000 0.500 0.000
In 0.000 0.000 0.748
In 0.000 0.000 0.252
Pb 0.500 0.500 0.000
In 0.667 0.333 0.500

Calculated values
The energy above the most stable polymorph in this dataset is 8.6 kJ/mol of atoms. Its energy is -3.05 eV/atom. The space group is P6/mmm, No. 191. The formation energy from the elements comes out at 105 meV per atom. Its spin magnetization is 0.00 μB/atom.

***

14.
Material: Ce2Pr3PuTe6
Method: DFT, GGA-PBE
State: optimized geometry

Cell lengths 4.479, 9.056, 10.092 Å; angles 103.49, 102.82, 90.00 degrees
Sites, in units of the cell vectors:
Pu 0.500 0.000 0.000
Te 0.667 0.582 0.335
Ce 0.167 0.334 0.333
Te 0.664 0.085 0.329
Pr 0.833 0.166 0.666
Pr 0.500 0.500 0.000
Te 0.000 0.756 0.999
Te 0.336 0.915 0.671
Ce 0.833 0.666 0.667
Te 0.333 0.418 0.665
Pr 0.167 0.834 0.334
Te 0.000 0.244 0.001

Calculated values
Its uncorrected formation energy is -1.37 eV/atom. Its energy is -6.32 eV/atom. The space group is C2/m, No. 12. Its spin magnetization is 0.68 μB/atom.

***

15.
Material: KPdN2
Method: DFT, GGA-PBE
State: optimized geometry

Cell lengths 6.937, 6.937, 6.937 Å; angles 27.86, 27.86, 27.86 degrees
Sites, in units of the cell vectors:
K 0.000 0.000 0.000
N 0.124 0.124 0.124
Pd 0.500 0.500 0.500
N 0.876 0.876 0.876

Calculated values
Its uncorrected formation energy is 1.06 eV/atom. The energy above the most stable polymorph in this dataset is 98.6 kJ/mol of atoms. Its energy is -4.67 eV/atom. The space group is R-3m, No. 166. Its spin magnetization is 0.00 μB/atom.

***

16.
Material: CsAsH4
Method: DFT, GGA-PBE
State: optimized geometry

Cell lengths 5.486, 5.486, 7.793 Å; angles 110.61, 110.61, 90.00 degrees
Sites, in units of the cell vectors:
As 0.500 0.500 0.000
As 0.250 0.750 0.500
H 0.229 0.304 0.457
H 0.847 0.771 0.543
H 0.903 0.479 0.957
Cs 0.000 0.000 0.000
H 0.521 0.097 0.043
H 0.229 0.153 0.457
H 0.696 0.771 0.543
H 0.054 0.479 0.957
Cs 0.750 0.250 0.500
H 0.521 0.946 0.043

Calculated values
Its energy is -3.02 eV/atom. The space group is I4_1/amd, No. 141. Its spin magnetization is 0.00 μB/atom.

***

17.
Material: Rb2BeS2
Method: DFT, GGA-PBE
State: optimized geometry

Cell lengths 5.897, 7.977, 7.977 Å; angles 51.72, 68.31, 68.31 degrees
Sites, in units of the cell vectors:
Rb 0.854 0.975 0.318
Be 0.250 0.500 0.500
S 0.411 0.749 0.430
S 0.911 0.430 0.749
S 0.089 0.570 0.251
Rb 0.646 0.682 0.025
Rb 0.354 0.318 0.975
Be 0.750 0.500 0.500
Rb 0.146 0.025 0.682
S 0.589 0.251 0.570

Calculated values
Its uncorrected formation energy is -1.10 eV/atom. The energy above the most stable polymorph in this dataset is 0.3 kJ/mol of atoms. Its energy is -3.88 eV/atom. The space group is Ibam, No. 72. Its spin magnetization is 0.00 μB/atom.

***

18.
Material: LaPrCl2
Method: DFT, GGA-PBE
State: optimized geometry

Cell lengths 3.663, 3.663, 9.117 Å; angles 78.41, 78.41, 60.00 degrees
Sites, in units of the cell vectors:
Cl 0.084 0.084 0.749
La 0.666 0.666 0.001
Cl 0.250 0.250 0.251
Pr 0.500 0.500 0.499

Calculated values
Its uncorrected formation energy is -1.46 eV/atom. The energy above the most stable polymorph in this dataset is 0.0 kJ/mol of atoms. Its energy is -4.81 eV/atom. The space group is R3m, No. 160. Its spin magnetization is 0.00 μB/atom.

***

19.
Material: LaThGa2
Method: DFT, GGA-PBE
State: optimized geometry

Cell lengths 4.186, 6.092, 8.370 Å; angles 90.00, 90.00, 90.00 degrees
Sites, in units of the cell vectors:
Ga 0.500 0.118 0.965
Th 0.000 0.865 0.180
Ga 0.000 0.368 0.033
Th 0.000 0.135 0.680
Ga 0.500 0.882 0.465
La 0.500 0.367 0.322
La 0.500 0.633 0.822
Ga 0.000 0.632 0.533

Calculated values
The energy above the most stable polymorph in this dataset is 0.5 kJ/mol of atoms. Its energy is -5.13 eV/atom. The space group is Pmc2_1, No. 26. The formation energy from the elements comes out at -533 meV per atom. Its spin magnetization is 0.00 μB/atom.

***

20.
Material: TiTcMoAs2
Method: DFT, GGA-PBE
State: optimized geometry

Cell lengths 4.754, 4.369, 4.754 Å; angles 90.00, 90.00, 90.00 degrees
Sites, in units of the cell vectors:
As 0.000 0.000 0.500
Mo 0.500 0.500 0.500
Tc 0.000 0.500 0.000
As 0.500 0.000 0.000
Ti 0.000 0.000 0.000

Calculated values
Its energy is -6.48 eV/atom. The space group is P4/mmm, No. 123. The formation energy from the elements comes out at 1195 meV per atom. Its spin magnetization is 0.12 μB/atom.